# 1
A plane-wave DFT calculation with PBE-GGA was carried out for LaPd2Pb2 after structural relaxation.

POSCAR file:
```
LaPd2Pb2
1.0
-4.6234 7.0728 0.8594
-3.5609 -1.4065 -7.5816
-2.3868 -1.7356 1.4430
Pb Pd La
4 4 2
direct
0.3622 0.8622 0.0000 Pb
0.8622 0.6378 0.0000 Pb
0.6378 0.1378 0.0000 Pb
0.1378 0.3622 0.0000 Pb
0.1558 0.6558 0.5000 Pd
0.6558 0.8442 0.5000 Pd
0.8442 0.3442 0.5000 Pd
0.3442 0.1558 0.5000 Pd
0.0000 0.0000 0.0000 La
0.5000 0.5000 0.0000 La
```

Its total magnetization is 0.84 μB/cell. The total energy comes out at -48.521 eV for the cell shown. The calculation puts the volume at 23.70 Å³/atom. The formation energy is -0.306 eV/atom. The value obtained for the density of states at the Fermi level is 0.66 states/eV per atom.

# 2
A plane-wave DFT calculation with PBE-GGA was carried out for LaPd4Pb2 after structural relaxation.

POSCAR file:
```
LaPd4Pb2
1.0
4.8227 0.0000 0.0000
0.0000 5.8179 0.0000
0.0000 0.0000 21.2290
La Pd Pb
4 16 8
direct
0.7500 0.0208 0.6212 La
0.2500 0.9792 0.3788 La
0.2500 0.5208 0.8788 La
0.7500 0.4792 0.1212 La
0.2500 0.2798 0.6584 Pd
0.7500 0.7202 0.3416 Pd
0.7500 0.7798 0.8416 Pd
0.2500 0.2202 0.1584 Pd
0.2500 0.7440 0.6707 Pd
0.7500 0.2560 0.3293 Pd
0.7500 0.2440 0.8293 Pd
0.2500 0.7560 0.1707 Pd
0.2500 0.1984 0.5269 Pd
0.7500 0.8016 0.4731 Pd
0.7500 0.6984 0.9731 Pd
0.2500 0.3016 0.0269 Pd
0.2500 0.4903 0.4064 Pd
0.7500 0.5097 0.5936 Pd
0.7500 0.9903 0.0936 Pd
0.2500 0.0097 0.9064 Pd
0.2500 0.6927 0.5374 Pb
0.7500 0.3073 0.4626 Pb
0.7500 0.1927 0.9626 Pb
0.2500 0.8073 0.0374 Pb
0.2500 0.0390 0.7716 Pb
0.7500 0.9610 0.2284 Pb
0.7500 0.5390 0.7284 Pb
0.2500 0.4610 0.2716 Pb
```

Its total magnetization is 0.00 μB/cell. The total energy comes out at -146.688 eV for the cell shown. The calculation puts the volume at 21.27 Å³/atom. The formation energy is -0.508 eV/atom. The value obtained for the density of states at the Fermi level is 0.45 states/eV per atom.

# 3
A plane-wave DFT calculation with PBE-GGA was carried out for La2Pd2Pb after structural relaxation.

POSCAR file:
```
La2Pd2Pb
1.0
3.9407 0.0000 0.0000
0.0000 3.9407 0.0000
1.9703 1.9703 8.8254
Pb Pd La
1 2 2
direct
0.0000 0.0000 0.0000 Pb
0.7500 0.2500 0.5000 Pd
0.2500 0.7500 0.5000 Pd
0.3760 0.3760 0.2480 La
0.6240 0.6240 0.7520 La
```

Its total magnetization is 0.00 μB/cell. The total energy comes out at -27.032 eV for the cell shown. The calculation puts the volume at 27.41 Å³/atom. The formation energy is -0.617 eV/atom. The value obtained for the density of states at the Fermi level is 0.73 states/eV per atom.

# 4
A plane-wave DFT calculation with PBE-GGA was carried out for La2Pd3Pb5 after structural relaxation.

POSCAR file:
```
La2Pd3Pb5
1.0
4.6617 0.0000 -0.7941
0.0000 7.6800 0.0000
0.0205 0.0000 14.2006
La Pd Pb
4 6 10
direct
0.4749 0.7618 0.9497 La
0.1714 0.7239 0.3429 La
0.8286 0.2239 0.6571 La
0.5251 0.2618 0.0503 La
0.7757 0.7151 0.5513 Pd
0.6055 0.5117 0.2110 Pd
0.0474 0.9802 0.0948 Pd
0.2243 0.2151 0.4487 Pd
0.9526 0.4802 0.9052 Pd
0.3945 0.0117 0.7890 Pd
0.4044 0.3872 0.8087 Pb
0.2903 0.5091 0.5806 Pb
0.7097 0.0091 0.4194 Pb
0.1224 0.2499 0.2448 Pb
0.2952 0.9304 0.5904 Pb
0.9506 0.0955 0.9012 Pb
0.7048 0.4304 0.4096 Pb
0.8776 0.7499 0.7552 Pb
0.0494 0.5955 0.0988 Pb
0.5956 0.8872 0.1913 Pb
```

Its total magnetization is 0.00 μB/cell. The total energy comes out at -98.551 eV for the cell shown. The calculation puts the volume at 25.43 Å³/atom. The formation energy is -0.530 eV/atom. The value obtained for the density of states at the Fermi level is 0.57 states/eV per atom.

# 5
A plane-wave DFT calculation with PBE-GGA was carried out for LaPd9Pb2 after structural relaxation.

POSCAR file:
```
LaPd9Pb2
1.0
4.1648 0.0000 0.0000
0.0000 4.1648 0.0000
0.0000 0.0000 12.3751
La Pd Pb
1 9 2
direct
0.0000 0.0000 0.0000 La
0.5000 0.5000 0.0000 Pd
0.5000 0.5000 0.3377 Pd
0.5000 0.5000 0.6623 Pd
0.5000 0.0000 0.1736 Pd
0.5000 0.0000 0.5000 Pd
0.5000 0.0000 0.8264 Pd
0.0000 0.5000 0.1736 Pd
0.0000 0.5000 0.5000 Pd
0.0000 0.5000 0.8264 Pd
0.0000 0.0000 0.3365 Pb
0.0000 0.0000 0.6635 Pb
```

Its total magnetization is 0.00 μB/cell. The total energy comes out at -64.493 eV for the cell shown. The calculation puts the volume at 17.89 Å³/atom. The formation energy is -0.451 eV/atom. The value obtained for the density of states at the Fermi level is 0.25 states/eV per atom.

# 6
A plane-wave DFT calculation with PBE-GGA was carried out for La2Pd9Pb after structural relaxation.

POSCAR file:
```
La2Pd9Pb
1.0
-1.7145 -2.4161 2.9853
2.0386 -3.3432 -1.5350
9.6736 2.4409 7.5314
La Pd Pb
2 9 1
direct
0.0000 0.0000 0.3300 La
0.0000 0.0000 0.6700 La
0.5000 0.5000 0.0000 Pd
0.5000 0.5000 0.3278 Pd
0.5000 0.5000 0.6722 Pd
0.5000 0.0000 0.1593 Pd
0.5000 0.0000 0.5000 Pd
0.5000 0.0000 0.8407 Pd
0.0000 0.5000 0.1593 Pd
0.0000 0.5000 0.5000 Pd
0.0000 0.5000 0.8407 Pd
0.0000 0.0000 0.0000 Pb
```

Its total magnetization is 0.00 μB/cell. The total energy comes out at -67.763 eV for the cell shown. The calculation puts the volume at 18.43 Å³/atom. The formation energy is -0.622 eV/atom. The value obtained for the density of states at the Fermi level is 0.34 states/eV per atom.